1.
A plane-wave DFT calculation with PBE was carried out for crystalline LaDyZn2Pb2 at its relaxed geometry.

Results
The value obtained for the calculated density is 9.07 Mg/m³. For the total magnetic moment, the calculation gives 0.00 μB/f.u. The calculation puts the raw total energy at -3.7279 eV per atom.

Cell: 4.6348 4.6348 16.6557 Å, 90.00 90.00 120.00°
Last column: nearest neighbours and their distance in Å.
Space group P6_3/mmc (No. 194)
One atom of each set of equivalent atoms:
1 La 0.0000 0.0000 0.0000  6 Pb 3.30
2 Dy 0.0000 0.0000 0.2500  6 Zn 3.00
3 Zn 0.3333 0.6667 0.1684  1 Zn 2.72, 3 Pb 2.81, 3 Dy 3.00
4 Pb 0.3333 0.6667 0.6164  3 Zn 2.81


2.
A plane-wave DFT calculation with PBE was carried out for crystalline LaDyZn2Pb2 at its relaxed geometry.

Results
The value obtained for the calculated density is 9.07 Mg/m³. For the total magnetic moment, the calculation gives 0.00 μB/f.u. The calculation puts the raw total energy at -3.6883 eV per atom.

Cell: 4.6777 4.6777 16.3548 Å, 90.00 90.00 120.00°
Last column: nearest neighbours and their distance in Å.
Space group P6_3/mmc (No. 194)
One atom of each set of equivalent atoms:
1 La 0.0000 0.0000 0.2500  6 Zn 3.09
2 Dy 0.0000 0.0000 0.0000  6 Pb 3.21
3 Zn 0.3333 0.6667 0.1581  3 Pb 2.83, 1 Zn 3.01, 3 La 3.09
4 Pb 0.3333 0.6667 0.6064  3 Zn 2.83


3.
A plane-wave DFT calculation with PBE was carried out for crystalline LaDyPd at its relaxed geometry.

Results
Its formation energy is -1.3 eV per formula unit. The value obtained for the calculated density is 7.66 Mg/m³. For the total magnetic moment, the calculation gives 0.01 μB/f.u.

Cell: 7.0713 7.0713 7.0713 Å, 90.00 90.00 90.00°
Last column: nearest neighbours and their distance in Å.
Space group F-43m (No. 216)
One atom of each set of equivalent atoms:
1 La 0.0000 0.0000 0.0000  4 Pd 3.06
2 Dy 0.0000 0.0000 0.5000  4 Pd 3.06
3 Pd 0.2500 0.2500 0.7500  4 Dy 3.06, 4 La 3.06


4.
A plane-wave DFT calculation with PBE was carried out for crystalline LaDy2Sn3PdPt2 at its relaxed geometry.

Results
The value obtained for the calculated density is 10.73 Mg/m³. For the total magnetic moment, the calculation gives 0.01 μB/f.u. The calculation puts the raw total energy at -5.8650 eV per atom.

Cell: 4.0810 13.2046 7.5636 Å, 90.00 90.00 90.00°
Last column: nearest neighbours and their distance in Å.
Space group Amm2 (No. 38)
One atom of each set of equivalent atoms:
1 La 0.0000 0.0000 0.0000  4 Pt 3.11, 1 Pd 3.16, 6 Sn 3.25-3.44
2 Dy 0.0000 0.2047 0.6167  4 Pt 3.05-3.06, 1 Pd 3.09, 6 Sn 3.26-3.41
3 Sn 0.5000 0.0000 0.6649  2 Pd 2.77, 2 Pt 2.93
4 Sn 0.5000 0.1292 0.2885  2 Pt 2.81-2.90, 2 Pd 2.83
5 Pd 0.0000 0.0000 0.4181  6 Sn 2.77-2.83, 2 Dy 3.09
6 Pt 0.5000 0.1703 0.9122  3 Sn 2.81-2.93, 4 Dy 3.05-3.06, 2 La 3.11